1.
The following is a PBE calculation of NaZn after structural relaxation, from Alexandria via LeMat-Bulk.

Summary:
DFT total energy (eV per atom): -0.7303
DOS(E_F) (states/eV/f.u.): 1.92
Calculated formation energy (kJ/mol of formula units): 109
Space group: Pm-3n, No. 223

Lattice parameters (Å, degrees): 8.5022 8.5022 8.5022 90.00 90.00 90.00
Positions (direct):
Na 0.0000 0.2500 0.5000
Na 0.0000 0.7500 0.5000
Na 0.2500 0.5000 0.0000
Na 0.5000 0.0000 0.2500
Na 0.5000 0.0000 0.7500
Na 0.7500 0.5000 0.0000
Zn 0.0000 0.5000 0.2500
Zn 0.0000 0.5000 0.7500
Zn 0.2500 0.0000 0.5000
Zn 0.5000 0.2500 0.0000
Zn 0.5000 0.7500 0.0000
Zn 0.7500 0.0000 0.5000

2.
The following is a PBE calculation of NaZn after structural relaxation, from Alexandria via LeMat-Bulk.

Summary:
DFT total energy (eV per atom): -0.9398
DOS(E_F) (states/eV/f.u.): 1.66
Calculated formation energy (kJ/mol of formula units): 69
Space group: I-43m, No. 217

Lattice parameters (Å, degrees): 7.8546 7.8546 7.8546 109.47 109.47 109.47
Positions (direct):
Na 0.0000 0.0000 0.5772
Na 0.0000 0.5772 0.0000
Na 0.4228 0.4228 0.4228
Na 0.5772 0.0000 0.0000
Zn 0.0000 0.0000 0.2059
Zn 0.0000 0.2059 0.0000
Zn 0.2059 0.0000 0.0000
Zn 0.7941 0.7941 0.7941

> Which of these has the lowest DFT total energy?

number 2

> The lowest calculated formation energy belongs to which entry?

number 2

> Look up the DOS(E_F) of the second one.

1.66 states/eV/f.u.